Record 1
The following is a PBE-GGA calculation of a relaxed PaSn3Pd12 crystal, from Alexandria. Values from VASP.

```
&SYSTEM
  ibrav = 0, nat = 16, ntyp = 3
/
ATOMIC_SPECIES
Pa 231.04 Pa.upf
Sn 118.71 Sn.upf
Pd 106.42 Pd.upf
ATOMIC_POSITIONS angstrom
Pa 0.000 0.000 0.000
Sn 0.000 0.000 4.176
Sn 0.000 0.000 8.108
Sn 0.000 0.000 12.040
Pd 0.000 2.038 2.023
Pd 0.000 2.038 6.110
Pd 0.000 2.038 10.106
Pd 0.000 2.038 14.193
Pd 2.038 0.000 2.023
Pd 2.038 0.000 6.110
Pd 2.038 0.000 10.106
Pd 2.038 0.000 14.193
Pd 2.038 2.038 0.000
Pd 2.038 2.038 4.067
Pd 2.038 2.038 8.108
Pd 2.038 2.038 12.150
CELL_PARAMETERS angstrom
4.077 0.000 0.000
0.000 4.077 0.000
0.000 0.000 16.216
```

formation energy from the elements	-9.51	eV/f.u.
density of states at the Fermi level	3.0	states/eV/f.u.
E	-93.33	eV/cell
density	11.486	g cm⁻³
V	269.5	Å³/f.u.

Record 2
The following is a PBE-GGA calculation of a relaxed Y3CuMo crystal, from Alexandria. Values from VASP.

```
&SYSTEM
  ibrav = 0, nat = 5, ntyp = 3
/
ATOMIC_SPECIES
Y 88.91 Y.upf
Cu 63.55 Cu.upf
Mo 95.94 Mo.upf
ATOMIC_POSITIONS angstrom
Y 0.000 0.000 2.661
Y 0.000 2.661 0.000
Y 2.661 0.000 0.000
Cu 2.661 2.661 2.661
Mo 0.000 0.000 0.000
CELL_PARAMETERS angstrom
5.323 0.000 0.000
0.000 5.323 0.000
0.000 0.000 5.323
```

formation energy from the elements	3.27	eV/f.u.
density of states at the Fermi level	7.4	states/eV/f.u.
E	-31.05	eV/cell
density	4.693	g cm⁻³
V	150.8	Å³/f.u.

Record 3
The following is a PBE-GGA calculation of a relaxed Si2AgHg crystal, from Alexandria. Values from VASP.

```
&SYSTEM
  ibrav = 0, nat = 8, ntyp = 3
/
ATOMIC_SPECIES
Si 28.09 Si.upf
Ag 107.87 Ag.upf
Hg 200.59 Hg.upf
ATOMIC_POSITIONS angstrom
Si 0.000 1.929 2.575
Si 0.000 1.929 7.726
Si 1.929 0.000 2.575
Si 1.929 0.000 7.726
Ag 0.000 0.000 0.000
Ag 1.929 1.929 5.150
Hg 0.000 0.000 5.150
Hg 1.929 1.929 0.000
CELL_PARAMETERS angstrom
3.859 0.000 0.000
0.000 3.859 0.000
0.000 0.000 10.301
```

formation energy (no corrections)	510.1	meV per atom
density of states at the Fermi level	0.7	states/eV/f.u.
E	-23.92	eV/cell
density	7.895	g cm⁻³
V	76.7	Å³/f.u.

Record 4
The following is a PBE-GGA calculation of a relaxed PmZrGePd crystal, from Alexandria. Values from VASP.

```
&SYSTEM
  ibrav = 0, nat = 16, ntyp = 4
/
ATOMIC_SPECIES
Pm 145.00 Pm.upf
Zr 91.22 Zr.upf
Ge 72.64 Ge.upf
Pd 106.42 Pd.upf
ATOMIC_POSITIONS angstrom
Pm 0.000 0.000 0.000
Pm 0.000 3.503 3.503
Pm 3.503 0.000 3.503
Pm 3.503 3.503 0.000
Zr 0.000 0.000 3.503
Zr 0.000 3.503 0.000
Zr 3.503 0.000 0.000
Zr 3.503 3.503 3.503
Ge 1.751 1.751 1.751
Ge 1.751 5.254 5.254
Ge 5.254 1.751 5.254
Ge 5.254 5.254 1.751
Pd 1.751 1.751 5.254
Pd 1.751 5.254 1.751
Pd 5.254 1.751 1.751
Pd 5.254 5.254 5.254
CELL_PARAMETERS angstrom
7.005 0.000 0.000
0.000 7.005 0.000
0.000 0.000 7.005
```

formation energy from the elements	-2.24	eV/f.u.
density of states at the Fermi level	2.8	states/eV/f.u.
E	-101.41	eV/cell
density	8.025	g cm⁻³
V	85.9	Å³/f.u.

Record 5
The following is a PBE-GGA calculation of a relaxed Pm12Ni3H5 crystal, from Alexandria. Values from VASP.

```
&SYSTEM
  ibrav = 0, nat = 80, ntyp = 3
/
ATOMIC_SPECIES
Pm 145.00 Pm.upf
Ni 58.69 Ni.upf
H 1.01 H.upf
ATOMIC_POSITIONS angstrom
Pm 2.365 -0.543 0.969
Pm 9.161 4.811 -4.385
Pm 7.141 -0.969 2.365
Pm 12.069 -1.477 2.873
Pm 10.049 0.543 0.969
Pm 9.161 -2.873 4.385
Pm 0.969 2.365 -0.543
Pm 10.557 3.299 -1.477
Pm 4.811 4.385 -1.477
Pm 6.715 2.365 0.543
Pm -0.543 0.969 2.365
Pm 4.385 -1.477 4.811
Pm 7.141 6.715 -2.365
Pm 4.385 1.477 2.873
Pm 6.715 -2.365 7.141
Pm 4.811 -4.385 9.161
Pm 2.873 4.385 1.477
Pm 8.653 5.319 0.543
Pm 2.365 7.141 -0.969
Pm 9.161 2.873 3.299
Pm 4.385 9.161 -2.873
Pm 7.141 0.969 5.319
Pm 1.477 2.873 4.385
Pm 2.365 0.543 6.715
Pm 5.319 7.141 0.969
Pm 6.207 4.811 3.299
Pm 0.543 6.715 2.365
Pm 3.299 -1.477 10.557
Pm -1.477 4.811 4.385
Pm 5.319 0.543 8.653
Pm -0.969 2.365 7.141
Pm 4.811 3.299 6.207
Pm 2.873 12.069 -1.477
Pm 0.969 10.049 0.543
Pm 3.299 6.207 4.811
Pm 0.543 0.969 10.049
Pm 3.299 9.161 2.873
Pm 8.227 6.715 5.319
Pm 0.969 5.319 7.141
Pm 2.873 3.299 9.161
Pm -2.873 4.385 9.161
Pm 6.715 5.319 8.227
Pm -1.477 10.557 3.299
Pm -2.365 7.141 6.715
Pm -4.385 9.161 4.811
Pm 0.543 8.653 5.319
Pm -1.477 2.873 12.069
Pm 5.319 8.227 6.715
Ni 3.842 1.921 0.000
Ni 7.684 3.842 -1.921
Ni 1.921 0.000 3.842
Ni 9.605 0.000 3.842
Ni 0.000 3.842 1.921
Ni 3.842 -1.921 7.684
Ni 3.842 9.605 0.000
Ni 7.684 3.842 5.763
Ni -1.921 7.684 3.842
Ni 5.763 7.684 3.842
Ni 0.000 3.842 9.605
Ni 3.842 5.763 7.684
H 0.000 0.000 0.000
H 3.842 3.842 -3.842
H 3.842 -3.842 3.842
H 7.684 0.000 0.000
H 11.526 1.921 0.000
H 7.684 -3.842 5.763
H 5.763 7.684 -3.842
H 5.763 0.000 3.842
H 3.842 5.763 0.000
H 7.684 3.842 1.921
H -3.842 3.842 3.842
H 0.000 7.684 0.000
H 0.000 0.000 7.684
H 3.842 3.842 3.842
H 0.000 3.842 5.763
H 3.842 1.921 7.684
H 1.921 7.684 3.842
H 1.921 0.000 11.526
H 0.000 11.526 1.921
H -3.842 5.763 7.684
CELL_PARAMETERS angstrom
-7.684 7.684 7.684
7.684 -7.684 7.684
7.684 7.684 -7.684
```

density of states at the Fermi level	20.9	states/eV/f.u.
E	-382.12	eV/cell
density	7.032	g cm⁻³
V	453.7	Å³/f.u.

Record 6
The following is a PBE-GGA calculation of a relaxed GaHPd3 crystal, from Alexandria. Values from VASP.

```
&SYSTEM
  ibrav = 0, nat = 10, ntyp = 3
/
ATOMIC_SPECIES
Ga 69.72 Ga.upf
H 1.01 H.upf
Pd 106.42 Pd.upf
ATOMIC_POSITIONS angstrom
Ga -0.244 0.000 2.788
Ga 6.698 0.000 3.798
H 3.254 0.000 0.136
H 3.199 0.000 6.450
Pd -1.633 0.000 6.136
Pd 2.324 0.000 2.260
Pd 1.260 0.000 5.176
Pd 5.193 0.000 1.409
Pd 4.130 0.000 4.325
Pd 8.087 0.000 0.450
CELL_PARAMETERS angstrom
4.759 -2.018 0.000
4.759 2.018 0.000
-3.065 0.000 6.586
```

density of states at the Fermi level	1.5	states/eV/f.u.
E	-47.47	eV/cell
density	10.238	g cm⁻³
V	63.3	Å³/f.u.

Record 7
The following is a PBE-GGA calculation of a relaxed Er3CoOs crystal, from Alexandria. Values from VASP.

```
&SYSTEM
  ibrav = 0, nat = 10, ntyp = 3
/
ATOMIC_SPECIES
Er 167.26 Er.upf
Co 58.93 Co.upf
Os 190.23 Os.upf
ATOMIC_POSITIONS angstrom
Er 1.072 0.404 1.430
Er 1.072 2.135 4.417
Er 1.072 3.865 1.430
Er 3.217 4.673 4.524
Er 3.217 6.404 1.538
Er 3.217 8.135 4.524
Co 1.072 6.404 3.228
Co 3.217 2.135 2.726
Os 1.072 6.404 5.611
Os 3.217 2.135 0.344
CELL_PARAMETERS angstrom
4.289 0.000 0.000
0.000 8.539 0.000
0.000 0.000 5.955
```

formation energy from the elements	-1.19	eV/f.u.
density of states at the Fermi level	3.4	states/eV/f.u.
E	-66.43	eV/cell
density	11.435	g cm⁻³
V	109.1	Å³/f.u.

Record 8
The following is a PBE-GGA calculation of a relaxed Dy4YMg2 crystal, from Alexandria. Values from VASP.

```
&SYSTEM
  ibrav = 0, nat = 7, ntyp = 3
/
ATOMIC_SPECIES
Dy 162.50 Dy.upf
Y 88.91 Y.upf
Mg 24.30 Mg.upf
ATOMIC_POSITIONS angstrom
Dy 0.000 0.000 1.639
Dy 0.000 0.000 4.986
Dy 0.000 0.000 19.080
Dy 0.000 0.000 22.427
Y 0.000 0.000 12.033
Mg 0.000 0.000 8.452
Mg 0.000 0.000 15.615
CELL_PARAMETERS angstrom
2.726 1.574 8.022
-2.726 1.574 8.022
0.000 -3.147 8.022
```

formation energy from the elements	0.48	eV/f.u.
density of states at the Fermi level	9.9	states/eV/f.u.
E	-27.58	eV/cell
density	6.335	g cm⁻³
V	206.4	Å³/f.u.

Record 9
The following is a PBE-GGA calculation of a relaxed ZrAg3I2Br6 crystal, from Alexandria. Values from VASP.

```
&SYSTEM
  ibrav = 0, nat = 12, ntyp = 4
/
ATOMIC_SPECIES
Zr 91.22 Zr.upf
Ag 107.87 Ag.upf
I 126.90 I.upf
Br 79.90 Br.upf
ATOMIC_POSITIONS angstrom
Zr 0.000 0.000 0.000
Ag 3.671 2.031 0.000
Ag 3.671 -2.031 0.000
Ag 6.969 0.000 3.247
I 4.599 0.000 1.713
I 9.339 0.000 4.780
Br 1.486 0.000 5.010
Br 5.585 2.170 4.929
Br 8.353 2.170 1.565
Br 5.585 -2.170 4.929
Br 8.353 -2.170 1.565
Br 12.452 0.000 1.484
CELL_PARAMETERS angstrom
7.341 -4.063 0.000
7.341 4.063 0.000
-0.745 0.000 6.494
```

formation energy (no corrections)	-670.8	meV per atom
density of states at the Fermi level	8.2	states/eV/f.u.
E	-38.29	eV/cell
density	4.921	g cm⁻³
V	387.4	Å³/f.u.